Here is crystalline CuNF3 at its relaxed geometry from Alexandria via LeMat-Bulk. Energies are from PBE-GGA.

Results
The density comes out at 4.11 g cm⁻³. The calculation puts the energy above the most stable polymorph in this dataset at 84.3 kJ per mole of atoms. For the density of states at the Fermi level, the calculation gives 0.420 states/eV/atom. The value obtained for the energy is -3.24 eV per atom.

Unit cell a=3.788 b=3.788 c=3.788 alpha=90.00 beta=90.00 gamma=90.00
Sites, in units of the cell vectors:
Cu (0.000, 0.000, 0.000)
N (0.500, 0.500, 0.500)
F (0.000, 0.500, 0.500)
F (0.500, 0.000, 0.500)
F (0.500, 0.500, 0.000)